This record from Alexandria describes a relaxed Ce2TmRh crystal. The functional is PBE.

Summary:
* energy of formation from the pure elements: -0.27 eV per atom
* E above lowest polymorph: 0 meV per atom
* N(E_F): 2.2564 states/eV/atom
* VASP energy: -6.19 eV/atom
* symmetry: No. 123

a = 3.6927 Å, b = 3.6927 Å, c = 7.4169 Å
α = 90.00°, β = 90.00°, γ = 90.00°
Element x y z (fractional)
Ce (0.0000, 0.0000, 0.1958)
Ce (0.0000, 0.0000, 0.8042)
Tm (0.5000, 0.5000, 0.5000)
Rh (0.5000, 0.5000, 0.0000)